# 1
Below is a geometry-optimized TlTeAs2 structure, with properties calculated at the GGA-PBE level.

formation energy (no corrections) = 0.209 eV per atom
excess energy over the best structure of this formula in the dataset = 75 kJ/mol of formula units

abc: 3.038 4.081 8.550
angles: 90.00 90.07 90.00
Space group P2/m (No. 10)
One atom of each set of equivalent atoms:
Tl  0.000  0.000  0.000
Te  0.500  0.000  0.500
As  0.499  0.500  0.260

***

# 2
Below is a geometry-optimized Sc6HO structure, with properties calculated at the GGA-PBE level.

uncorrected energy = -6.629 eV/atom

abc: 5.7171 5.7171 10.2807
angles: 90.00 90.00 120.00
Space group P-31c (No. 163)
One atom of each set of equivalent atoms:
Sc  0.0105  0.3412  0.1264
H  0.0000  0.0000  0.0000
O  0.3333  0.6667  0.2500

***

# 3
Below is a geometry-optimized BeTe2SeN structure, with properties calculated at the GGA-PBE level.

formation energy (no corrections) = 0.462 eV per atom
excess energy over the best structure of this formula in the dataset = 0 kJ/mol of formula units

abc: 5.594 5.594 3.107
angles: 90.00 90.00 90.00
Space group P4/mmm (No. 123)
One atom of each set of equivalent atoms:
Be  0.000  0.000  0.000
Te  0.000  0.500  0.000
Se  0.500  0.500  0.500
N  0.000  0.000  0.500

***

# 4
Below is a geometry-optimized TlHgAuO4 structure, with properties calculated at the GGA-PBE level.

formation energy (no corrections) = -0.252 eV per atom

abc: 6.269 6.648 11.163
angles: 90.00 90.00 90.00
Space group Imma (No. 74)
One atom of each set of equivalent atoms:
Tl  0.000  0.000  0.000
Hg  0.000  0.250  0.359
Au  0.250  0.250  0.750
O  0.000  0.051  0.772
O  0.232  0.250  0.014

***

# 5
Below is a geometry-optimized CePr2Pa2Rh5 structure, with properties calculated at the GGA-PBE level.

energy of formation from the pure elements = -636 meV per atom

abc: 10.998 10.998 3.629
angles: 90.00 90.00 90.00
Space group P4/mbm (No. 127)
One atom of each set of equivalent atoms:
Ce  0.000  0.000  0.000
Pr  0.173  0.327  0.000
Pa  0.135  0.635  0.000
Rh  0.000  0.500  0.500
Rh  0.056  0.805  0.500

***

# 6
Below is a geometry-optimized Y2RhF2 structure, with properties calculated at the GGA-PBE level.

formation energy (no corrections) = -2.443 eV per atom

abc: 3.569 3.569 13.232
angles: 90.00 90.00 90.00
Space group I4/mmm (No. 139)
One atom of each set of equivalent atoms:
Y  0.000  0.000  0.128
Rh  0.000  0.000  0.500
F  0.000  0.500  0.250

***

# 7
Below is a geometry-optimized NiPt2Se structure, with properties calculated at the GGA-PBE level.

formation energy (no corrections) = 0.161 eV per atom

abc: 2.807 4.685 4.693
angles: 90.00 90.00 90.00
Space group Pmmm (No. 47)
One atom of each set of equivalent atoms:
Ni  0.000  0.000  0.000
Pt  0.000  0.500  0.500
Pt  0.500  0.500  0.000
Se  0.500  0.000  0.500